VASP calculation (GGA-PBE) on an optimized crystal structure of Nd5SmTe6.

Cell and atoms, written as extended XYZ:
```
12
Lattice="7.7532 0.2265 0.0000 2.3997 7.3936 0.0000 1.1998 3.6968 6.7593" Properties=species:S:1:pos:R:3 pbc="T T T"
Sm 0.0000 0.0000 0.0000
Te 4.9266 9.3153 4.5296
Nd 6.2763 7.5068 2.2910
Nd 2.3997 7.3936 4.5003
Nd 5.0764 3.8100 0.0000
Nd 1.1998 3.6968 2.2590
Te 3.7267 5.6186 2.2297
Te 2.5309 1.8817 0.0000
Te 6.4261 2.0015 2.2297
Nd 5.0764 3.8100 4.4683
Te 7.6260 5.6983 4.5296
Te 7.6220 5.7384 0.0000
```

Symmetry   C2/m (12)
Energy relative to the elements, uncorrected   -1.42 eV/atom

***

VASP calculation (GGA-PBE) on an optimized crystal structure of Nd3SmTe3.

Cell and atoms, written as extended XYZ:
```
14
Lattice="-4.0128 -6.4916 5.2225 5.0612 -4.8873 6.0013 -0.7640 0.3939 8.0900" Properties=species:S:1:pos:R:3 pbc="T T T"
Te 2.4909 -3.6496 10.7439
Nd 2.2896 -6.0150 12.7941
Nd -0.5560 -9.0747 10.8428
Sm 0.2960 -3.5920 3.9500
Sm -0.0116 -7.3929 15.3638
Nd -3.5069 -5.5308 10.8437
Nd 0.8404 -1.9102 8.4710
Te -2.2065 -7.3352 8.5699
Te 2.2407 -7.8207 10.1761
Nd -2.0052 -4.9699 6.5197
Nd 3.7913 -5.4541 8.4701
Te -1.9563 -3.1642 9.1377
Te -0.9792 -6.3877 12.4915
Te 1.2636 -4.5972 6.8223
```

Symmetry   R-3 (148)
Energy relative to the elements, uncorrected   -1.12 eV/atom

***

VASP calculation (GGA-PBE) on an optimized crystal structure of NdSm4Te6.

Cell and atoms, written as extended XYZ:
```
22
Lattice="4.3561 0.0000 0.0000 -2.1780 7.2818 0.0000 0.0000 0.0000 22.6800" Properties=species:S:1:pos:R:3 pbc="T T T"
Sm 2.1780 1.2668 14.1934
Te 2.1780 6.4714 15.0929
Sm 0.0000 2.0881 0.8196
Te 0.0000 0.8104 7.5871
Sm 2.1780 5.1937 12.1596
Te 0.0000 0.8104 3.7529
Te 0.0000 3.3820 13.4594
Te 2.1780 3.8997 2.1194
Te 2.1781 2.6857 17.0100
Te 2.1780 0.0000 11.3400
Nd 0.0000 5.0186 17.0100
Sm 0.0000 6.0150 2.8534
Sm 0.0000 6.0150 8.4866
Te 2.1780 6.4714 18.9271
Te 0.0000 3.3820 20.5606
Nd 2.1780 2.2632 5.6700
Te 0.0000 4.5961 5.6700
Sm 0.0000 2.0881 10.5204
Sm 2.1780 5.1937 21.8604
Te 2.1780 0.0000 0.0000
Te 2.1780 3.8997 9.2206
Sm 2.1780 1.2668 19.8266
```

Symmetry   Cmcm (63)
Energy relative to the elements, uncorrected   -1.42 eV/atom

***

VASP calculation (GGA-PBE) on an optimized crystal structure of Nd3SmTe4.

Cell and atoms, written as extended XYZ:
```
16
Lattice="-3.5332 -2.3862 -1.0738 3.9804 -1.8667 0.0522 -3.8809 -7.4558 29.3375" Properties=species:S:1:pos:R:3 pbc="T T T"
Te -4.6669 -9.2025 26.8039
Nd -2.4860 -5.0128 10.3180
Te -3.1530 -6.0573 23.8346
Te -2.6684 -5.1264 20.1718
Sm 0.5056 -3.9038 7.0112
Nd -1.5118 -3.1412 2.9538
Nd -1.9405 -3.7279 14.6688
Nd -1.9219 -8.5675 25.3621
Sm -3.9394 -7.8049 21.3047
Te -1.2125 -2.3294 9.1658
Te -0.2218 -5.3014 12.5105
Nd 0.0000 0.0000 0.0000
Nd -0.9477 -6.6959 17.9979
Te 1.2331 -2.5062 1.5119
Te -3.2119 -6.4073 15.8054
Te -0.7280 -1.3985 5.5030
```

Symmetry   P6_3/mmc (194)
Energy above the lowest structure with this stoichiometry   13 meV per atom
Energy relative to the elements, uncorrected   -1.40 eV/atom

***

VASP calculation (GGA-PBE) on an optimized crystal structure of NdSm2Te.

Cell and atoms, written as extended XYZ:
```
4
Lattice="3.9480 0.0000 0.0000 0.0000 3.9480 0.0000 0.0000 0.0000 8.0259" Properties=species:S:1:pos:R:3 pbc="T T T"
Nd 1.9740 1.9740 0.0000
Te 1.9740 1.9740 4.0129
Sm 0.0000 0.0000 2.2591
Sm 0.0000 0.0000 5.7668
```

Symmetry   P4/mmm (123)
Energy above the lowest structure with this stoichiometry   101 meV per atom
Energy relative to the elements, uncorrected   -0.58 eV/atom

***

VASP calculation (GGA-PBE) on an optimized crystal structure of NdSm2Te.

Cell and atoms, written as extended XYZ:
```
4
Lattice="-3.3185 1.6293 -1.3175 -0.9950 -0.3561 -3.7797 -6.8314 -8.7164 0.5819" Properties=species:S:1:pos:R:3 pbc="T T T"
Te -5.5725 -3.7216 -2.2576
Sm -5.1632 -5.8892 -0.1236
Nd 0.0000 0.0000 0.0000
Sm -5.9817 -1.5539 -4.3917
```

Symmetry   R-3m (166)
Energy above the lowest structure with this stoichiometry   390 meV per atom
Energy relative to the elements, uncorrected   -0.29 eV/atom

***

VASP calculation (GGA-PBE) on an optimized crystal structure of Nd5SmTe8.

Cell and atoms, written as extended XYZ:
```
14
Lattice="-1.9574 4.0453 6.9242 -6.6743 -3.9419 -2.8384 5.9576 -5.4958 1.5634" Properties=species:S:1:pos:R:3 pbc="T T T"
Te 1.7320 -0.4510 7.6039
Nd 2.0001 -0.7252 4.2438
Te 1.3217 -3.8685 4.5575
Te -2.0054 -5.8118 3.1388
Te 0.0414 -1.9454 1.7716
Te -0.9619 0.0859 5.2474
Te -2.1121 -5.3333 -0.4470
Nd 4.3888 -4.4172 3.8126
Te -5.1160 -2.5765 -1.2160
Nd -6.0643 -1.3372 3.9551
Te -3.5957 -1.6689 1.9405
Nd -1.8071 -2.1691 -0.8445
Sm 0.6417 -5.0815 1.4844
Nd -1.8654 -2.8612 4.3751
```

Symmetry   I-4 (82)
Energy relative to the elements, uncorrected   -1.42 eV/atom

***

VASP calculation (GGA-PBE) on an optimized crystal structure of NdSm2Te5.

Cell and atoms, written as extended XYZ:
```
16
Lattice="8.2639 0.0000 0.0000 0.0000 8.2639 0.0000 -4.1319 -4.1319 7.2055" Properties=species:S:1:pos:R:3 pbc="T T T"
Sm 5.3832 1.2513 0.0000
Nd 4.1319 4.1319 3.6027
Te 2.8340 1.2979 2.1509
Sm 7.0125 5.3832 0.0000
Te 0.0000 0.0000 0.0000
Te 2.8340 -1.2979 5.0546
Te -1.2979 -2.8340 5.0546
Sm 1.2513 2.8806 0.0000
Te 4.1319 4.1319 0.0000
Nd 0.0000 0.0000 3.6027
Te 5.4299 6.9659 2.1509
Te 6.9659 2.8340 2.1509
Sm 2.8806 7.0125 0.0000
Te -2.8340 1.2979 5.0546
Te 1.2979 2.8340 5.0546
Te 1.2979 5.4299 2.1509
```

Symmetry   I4/mcm (140)
Energy relative to the elements, uncorrected   -1.24 eV/atom

***

VASP calculation (GGA-PBE) on an optimized crystal structure of Nd3Sm2Te6.

Cell and atoms, written as extended XYZ:
```
11
Lattice="0.0876 0.5268 7.7050 -6.5692 -0.5029 3.9801 0.8710 -7.0084 3.0526" Properties=species:S:1:pos:R:3 pbc="T T T"
Nd -2.1825 0.0054 3.8955
Te -1.8529 -1.6830 6.5492
Sm -3.9566 -3.7548 5.4644
Te 0.2487 -1.6845 2.7715
Te -1.4779 -5.2956 4.2912
Nd -4.2990 0.0185 7.7896
Sm -1.6539 -3.2297 9.2733
Nd 0.0000 0.0000 0.0000
Te 0.7100 -4.7971 7.9862
Te -4.1327 -1.6888 10.4466
Te -3.7577 -5.3015 8.1885
```

Symmetry   C2/m (12)
Energy relative to the elements, uncorrected   -1.47 eV/atom

***

VASP calculation (GGA-PBE) on an optimized crystal structure of NdSm5Te8.

Cell and atoms, written as extended XYZ:
```
14
Lattice="8.2650 0.1225 -0.2106 -2.6813 7.8190 0.2106 -2.9024 -3.8930 6.6926" Properties=species:S:1:pos:R:3 pbc="T T T"
Te -1.0429 5.8736 0.2472
Sm 2.6813 -1.8852 3.2410
Sm 2.4989 2.2559 4.1640
Te 5.6833 -1.9141 4.7729
Sm -1.1565 2.7339 0.9102
Te 0.4259 0.4939 2.4586
Te 0.2963 3.6435 5.9064
Te 1.7441 3.9338 1.6061
Nd -1.4512 1.0204 5.0721
Te -2.4720 3.8527 3.5255
Sm 3.9586 6.1282 1.9265
Te 4.5311 0.6333 2.4149
Sm 0.0616 -3.0211 6.3844
Te 1.5595 -0.3229 5.8386
```

Symmetry   I-4 (82)
Energy relative to the elements, uncorrected   -1.40 eV/atom

***

VASP calculation (GGA-PBE) on an optimized crystal structure of NdSmTe3.

Cell and atoms, written as extended XYZ:
```
20
Lattice="-6.0821 -3.7747 -4.2430 4.9957 -4.6351 -3.0375 -1.5023 -7.2669 8.6183" Properties=species:S:1:pos:R:3 pbc="T T T"
Sm -3.0410 -1.8873 -2.1215
Te -3.6686 -8.3100 3.6093
Te 0.2141 -7.2036 5.2190
Te -2.1924 -12.2940 3.0500
Te -1.6833 -9.8316 0.1296
Te 1.0799 -7.3667 -2.2714
Te -0.3963 -3.3827 -1.7122
Nd -0.8402 -2.5125 1.4869
Te 2.2521 -8.7741 1.7073
Sm -3.7922 -5.5208 2.1877
Te -0.9053 -5.8451 1.2082
Sm 1.7467 -5.9510 2.7904
Nd -1.7485 -13.1642 -0.1491
Nd -0.6790 -9.4476 3.1712
Te -2.8028 -8.4731 -3.8812
Te -4.3317 -4.4402 -3.2898
Te 1.7431 -11.2365 4.6277
Te -4.8408 -6.9026 -0.3695
Nd -1.9096 -6.2291 -1.8334
Sm 2.4979 -2.3176 -1.5187
```

Symmetry   Pnma (62)
Energy above the lowest structure with this stoichiometry   68 meV per atom
Energy relative to the elements, uncorrected   -1.39 eV/atom

***

VASP calculation (GGA-PBE) on an optimized crystal structure of NdSm2Te3.

Cell and atoms, written as extended XYZ:
```
6
Lattice="-4.0766 1.6582 -0.8895 -1.7914 -1.2371 5.9041 4.9861 5.8494 -0.6149" Properties=species:S:1:pos:R:3 pbc="T T T"
Nd -0.4410 3.1352 2.1999
Sm 3.1611 4.8973 0.3086
Te -3.1779 1.9012 1.1109
Sm -4.0430 1.3731 4.0912
Te 2.2960 4.3692 3.2889
Te 0.4547 3.7538 -0.7522
```

Symmetry   Immm (71)
Energy relative to the elements, uncorrected   -1.40 eV/atom

***

| no. | final energy (eV for the cell shown) | total magnetic moment (μB per cell) |
| --- | --- | --- |
| 1 | -64.4 | 0.000 |
| 2 | -72.6 | 0.000 |
| 3 | -116.3 | 0.000 |
| 4 | -85.6 | 0.000 |
| 5 | -19.7 | 0.000 |
| 6 | -18.5 | 1.298 |
| 7 | -73.6 | 0.000 |
| 8 | -79.7 | 0.000 |
| 9 | -58.7 | 0.000 |
| 10 | -73.1 | 0.000 |
| 11 | -103.5 | 0.000 |
| 12 | -32.0 | 0.000 |